Hg2Mo2O7: relaxed, PBE with a Hubbard U.

Lattice parameters (Å, degrees): 7.4854 7.4854 7.4854 60.00 60.00 60.00
With the nearest neighbours (Å) after each atom.
Sites, in units of the cell vectors:
Hg1 0.0000 0.0000 0.0000  2 O 2.29
Hg2 0.0000 0.0000 0.5000  2 O 2.29
Hg3 0.0000 0.5000 0.0000  2 O 2.29
Hg4 0.5000 0.0000 0.0000  2 O 2.29
Mo1 0.0000 0.5000 0.5000  6 O 1.98
Mo2 0.5000 0.0000 0.5000  6 O 1.98
Mo3 0.5000 0.5000 0.0000  6 O 1.98
Mo4 0.5000 0.5000 0.5000  6 O 1.98
O1 0.1250 0.1250 0.1250  4 Hg 2.29
O2 0.1899 0.1899 0.5601  2 Mo 1.98
O3 0.1899 0.5601 0.1899  2 Mo 1.98
O4 0.1899 0.5601 0.5601  2 Mo 1.98
O5 0.4399 0.4399 0.8101  2 Mo 1.98
O6 0.4399 0.8101 0.4399  2 Mo 1.98
O7 0.4399 0.8101 0.8101  2 Mo 1.98
O8 0.5601 0.1899 0.1899  2 Mo 1.98
O9 0.5601 0.1899 0.5601  2 Mo 1.98
O10 0.5601 0.5601 0.1899  2 Mo 1.98
O11 0.8101 0.4399 0.4399  2 Mo 1.98
O12 0.8101 0.4399 0.8101  2 Mo 1.98
O13 0.8101 0.8101 0.4399  2 Mo 1.98
O14 0.8750 0.8750 0.8750  4 Hg 2.29

Results
* E: -0.412 Ry per atom
* volume: 297 Å³ per cell